The following is a DFT calculation (PBE-GGA) of a relaxed K2SrZn2 crystal.

Output
ΔH_f (0 K) ... 0.23 eV/atom
Distance to the lowest polymorph of the same formula ... 0.1553 eV/atom
Space group ... No. 127
Crystal system ... tetragonal

Lattice parameters (Å, degrees): 9.7248 9.7248 3.9491 90.00 90.00 90.00
With the nearest neighbours (Å) after each atom.
Positions (direct):
Sr 0.0000 0.0000 0.0000  4 K 3.85, 2 Sr 3.95, 8 Zn 4.08
Sr 0.5000 0.5000 0.0000  4 K 3.85, 2 Sr 3.95, 8 Zn 4.08
Zn 0.1800 0.6800 0.5000  6 K 3.34-3.60
Zn 0.6800 0.8200 0.5000  6 K 3.34-3.60
Zn 0.8200 0.3200 0.5000  6 K 3.34-3.60
Zn 0.3200 0.1800 0.5000  6 K 3.34-3.60
K 0.3763 0.8763 0.0000  6 Zn 3.34-3.60, 1 K 3.40
K 0.8763 0.6237 0.0000  6 Zn 3.34-3.60, 1 K 3.40
K 0.6237 0.1237 0.0000  6 Zn 3.34-3.60, 1 K 3.40
K 0.1237 0.3763 0.0000  6 Zn 3.34-3.60, 1 K 3.40


The following is a DFT calculation (PBE-GGA) of a relaxed Nd2PaHg crystal.

Output
ΔH_f (0 K) ... 0.01 eV/atom
Distance to the lowest polymorph of the same formula ... 0.0899 eV/atom
Space group ... No. 123
Crystal system ... tetragonal

Lattice parameters (Å, degrees): 3.4706 5.6852 5.6852 90.00 90.00 90.00
With the nearest neighbours (Å) after each atom.
Positions (direct):
Pa 0.5000 0.5000 0.5000  8 Nd 3.33, 2 Pa 3.47
Nd 0.0000 0.0000 0.5000  4 Pa 3.33, 4 Hg 3.33, 2 Nd 3.47
Nd 0.0000 0.5000 0.0000  4 Pa 3.33, 4 Hg 3.33, 2 Nd 3.47
Hg 0.5000 0.0000 0.0000  8 Nd 3.33, 2 Hg 3.47


The following is a DFT calculation (PBE-GGA) of a relaxed Tm3PuN4 crystal.

Output
Distance to the lowest polymorph of the same formula ... 0.0028 eV/atom
Space group ... No. 65
Crystal system ... orthorhombic
Energy relative to the elements, uncorrected ... -13.29 eV/f.u.

Lattice parameters (Å, degrees): 3.4273 5.9118 5.9118 109.39 90.00 90.00
With the nearest neighbours (Å) after each atom.
Positions (direct):
Tm 0.0000 0.0000 0.5000  6 N 2.41-2.42
Tm 0.5000 0.5000 0.5000  6 N 2.43
Tm 0.0000 0.5000 0.0000  6 N 2.41-2.42
Pu 0.5000 0.0000 0.0000  6 N 2.40-2.41
N 0.0000 0.2487 0.2487  4 Tm 2.41-2.43, 2 Pu 2.41
N 0.5000 0.7514 0.2486  1 Pu 2.40, 5 Tm 2.42-2.43
N 0.0000 0.7513 0.7513  4 Tm 2.41-2.43, 2 Pu 2.41
N 0.5000 0.2486 0.7514  1 Pu 2.40, 5 Tm 2.42-2.43


The following is a DFT calculation (PBE-GGA) of a relaxed Dy2YCu crystal.

Output
ΔH_f (0 K) ... 0.03 eV/atom
Distance to the lowest polymorph of the same formula ... 0.1429 eV/atom
Space group ... No. 166
Crystal system ... trigonal

Lattice parameters (Å, degrees): 3.5839 3.5839 10.1290 79.81 79.81 60.00
With the nearest neighbours (Å) after each atom.
Positions (direct):
Y 0.5000 0.5000 0.5000  6 Y 3.58, 6 Dy 3.59
Cu 0.0000 0.0000 0.0000  6 Dy 2.90
Dy 0.2652 0.2652 0.2045  3 Cu 2.90
Dy 0.7348 0.7348 0.7955  3 Cu 2.90


The following is a DFT calculation (PBE-GGA) of a relaxed Pr3ZnSi2 crystal.

Output
Space group ... No. 62
Crystal system ... orthorhombic
Energy relative to the elements, uncorrected ... -3.38 eV/f.u.

Lattice parameters (Å, degrees): 4.2927 11.9629 11.9835 90.00 90.00 90.00
With the nearest neighbours (Å) after each atom.
Positions (direct):
Pr 0.2500 0.3825 0.0604  1 Zn 3.07, 5 Si 3.08-3.29
Pr 0.7500 0.6175 0.9396  1 Zn 3.07, 5 Si 3.08-3.29
Pr 0.7500 0.8825 0.4396  1 Zn 3.07, 5 Si 3.08-3.29
Pr 0.2500 0.1175 0.5604  1 Zn 3.07, 5 Si 3.08-3.29
Pr 0.2500 0.7001 0.1973  2 Zn 3.03, 4 Si 3.09-3.26
Pr 0.7500 0.2999 0.8027  2 Zn 3.03, 4 Si 3.09-3.26
Pr 0.7500 0.2001 0.3027  2 Zn 3.03, 4 Si 3.09-3.26
Pr 0.2500 0.7999 0.6973  2 Zn 3.03, 4 Si 3.09-3.26
Pr 0.2500 0.4360 0.3764  5 Si 3.13-3.20, 3 Zn 3.23
Pr 0.7500 0.5640 0.6236  5 Si 3.13-3.20, 3 Zn 3.23
Pr 0.7500 0.9360 0.1236  5 Si 3.13-3.20, 3 Zn 3.23
Pr 0.2500 0.0640 0.8764  5 Si 3.13-3.20, 3 Zn 3.23
Zn 0.2500 0.1376 0.1360  3 Si 2.54-2.55
Zn 0.7500 0.8624 0.8640  3 Si 2.54-2.55
Zn 0.7500 0.6376 0.3640  3 Si 2.54-2.55
Zn 0.2500 0.3624 0.6360  3 Si 2.54-2.55
Si 0.2500 0.6813 0.4685  2 Zn 2.54
Si 0.7500 0.3187 0.5315  2 Zn 2.54
Si 0.7500 0.1813 0.0315  2 Zn 2.54
Si 0.2500 0.8187 0.9685  2 Zn 2.54
Si 0.2500 0.0109 0.3069  1 Zn 2.55
Si 0.7500 0.9891 0.6931  1 Zn 2.55
Si 0.7500 0.5109 0.1931  1 Zn 2.55
Si 0.2500 0.4891 0.8069  1 Zn 2.55


The following is a DFT calculation (PBE-GGA) of a relaxed Zn2NiHAu crystal.

Output
Space group ... No. 123
Total DFT energy (no corrections) ... -3.075 eV/atom
Crystal system ... tetragonal

Lattice parameters (Å, degrees): 4.3185 4.3185 3.2364 90.00 90.00 90.00
With the nearest neighbours (Å) after each atom.
Positions (direct):
Ni 0.0000 0.0000 0.5000  2 H 1.62
Zn 0.0000 0.5000 0.0000  2 H 2.16
Zn 0.5000 0.0000 0.0000  2 H 2.16
Au 0.5000 0.5000 0.5000  8 Zn 2.70
H 0.0000 0.0000 0.0000  2 Ni 1.62


The following is a DFT calculation (PBE-GGA) of a relaxed KBaIr2 crystal.

Output
ΔH_f (0 K) ... 0.88 eV/atom
Distance to the lowest polymorph of the same formula ... 0.8069 eV/atom
Space group ... No. 216
Crystal system ... cubic

Lattice parameters (Å, degrees): 5.1402 5.1402 5.1402 60.00 60.00 60.00
With the nearest neighbours (Å) after each atom.
Positions (direct):
Ba 0.5000 0.5000 0.5000  4 K 3.15, 4 Ir 3.15
Ir 0.0000 0.0000 0.0000  4 Ir 3.15, 4 K 3.15
Ir 0.2500 0.2500 0.2500  4 Ba 3.15, 4 Ir 3.15
K 0.7500 0.7500 0.7500  4 Ir 3.15, 4 Ba 3.15


The following is a DFT calculation (PBE-GGA) of a relaxed Hf2CuHOs crystal.

Output
Distance to the lowest polymorph of the same formula ... 0.1106 eV/atom
Space group ... No. 123
Crystal system ... tetragonal

Lattice parameters (Å, degrees): 4.5209 4.5209 3.5416 90.00 90.00 90.00
With the nearest neighbours (Å) after each atom.
Positions (direct):
Hf 0.0000 0.5000 0.0000  2 H 2.26
Hf 0.5000 0.0000 0.0000  2 H 2.26
Os 0.0000 0.0000 0.5000  2 H 1.77
Cu 0.5000 0.5000 0.5000  8 Hf 2.87, 4 Os 3.20
H 0.0000 0.0000 0.0000  2 Os 1.77


The following is a DFT calculation (PBE-GGA) of a relaxed PmTm7Mg2 crystal.

Output
ΔH_f (0 K) ... 0.60 eV/atom
Space group ... No. 65
Crystal system ... orthorhombic

Lattice parameters (Å, degrees): 5.2385 9.1779 9.1780 123.22 90.00 90.00
With the nearest neighbours (Å) after each atom.
Positions (direct):
Pm 0.0000 0.0000 0.0000  10 Tm 3.41-3.57
Tm 0.0000 0.7890 0.2110  2 Mg 2.98
Tm 0.0000 0.2110 0.7890  2 Mg 2.98
Tm 0.5000 0.0680 0.2947  2 Mg 3.12-3.39, 4 Tm 3.17-3.44
Tm 0.5000 0.9320 0.7053  2 Mg 3.12-3.39, 4 Tm 3.17-3.44
Tm 0.5000 0.2947 0.0680  2 Mg 3.12-3.39, 4 Tm 3.17-3.44
Tm 0.5000 0.7053 0.9320  2 Mg 3.12-3.39, 4 Tm 3.17-3.44
Tm 0.5000 0.5000 0.5000  2 Mg 3.24, 4 Tm 3.33
Mg 0.5000 0.7008 0.2992  5 Tm 2.98-3.24
Mg 0.5000 0.2992 0.7008  5 Tm 2.98-3.24


The following is a DFT calculation (PBE-GGA) of a relaxed PmNiSn3 crystal.

Output
ΔH_f (0 K) ... -0.40 eV/atom
Distance to the lowest polymorph of the same formula ... 0.0983 eV/atom
Space group ... No. 107
Crystal system ... tetragonal

Lattice parameters (Å, degrees): 4.7542 4.7542 6.3186 112.10 112.10 90.00
With the nearest neighbours (Å) after each atom.
Positions (direct):
Pm 0.9839 0.9839 0.9678  1 Ni 3.37, 12 Sn 3.40-3.71
Ni 0.6692 0.6692 0.3384  5 Sn 2.47-2.53
Sn 0.2496 0.7496 0.4991  2 Ni 2.53
Sn 0.7496 0.2496 0.4991  2 Ni 2.53
Sn 0.4380 0.4380 0.8760  1 Ni 2.47


The following is a DFT calculation (PBE-GGA) of a relaxed Ba2ZnTe2 crystal.

Output
Distance to the lowest polymorph of the same formula ... 0.1955 eV/atom
Space group ... No. 139
Crystal system ... tetragonal
Energy relative to the elements, uncorrected ... -4.62 eV/f.u.

Lattice parameters (Å, degrees): 6.5250 6.5250 8.0201 66.00 66.00 90.00
With the nearest neighbours (Å) after each atom.
Positions (direct):
Zn 0.0000 0.0000 0.0000  2 Te 4.28, 8 Ba 4.63
Te 0.3264 0.3264 0.3472  4 Ba 3.41
Te 0.6736 0.6736 0.6528  4 Ba 3.41
Ba 0.7500 0.2500 0.5000  4 Te 3.41
Ba 0.2500 0.7500 0.5000  4 Te 3.41


The following is a DFT calculation (PBE-GGA) of a relaxed La3Pr2HoAs6 crystal.

Output
ΔH_f (0 K) ... -1.53 eV/atom
Space group ... No. 12
Crystal system ... monoclinic

Lattice parameters (Å, degrees): 4.3120 8.6176 9.6334 102.94 102.93 90.00
With the nearest neighbours (Å) after each atom.
Positions (direct):
La 0.5000 0.5000 0.0000  6 As 3.05-3.11
La 0.8330 0.1657 0.6660  6 As 3.05-3.11
La 0.1670 0.8343 0.3340  6 As 3.05-3.11
Pr 0.8345 0.6684 0.6689  6 As 3.03-3.06
Pr 0.1655 0.3316 0.3311  6 As 3.03-3.06
Ho 0.5000 0.0000 0.0000  6 As 2.98-2.99
As 0.3372 0.9176 0.6744  1 Ho 2.98, 2 Pr 3.04, 3 La 3.05-3.11
As 0.6671 0.5822 0.3343  3 Pr 3.05-3.06, 3 La 3.05-3.06
As 0.6628 0.0824 0.3256  1 Ho 2.98, 2 Pr 3.04, 3 La 3.05-3.11
As 0.9999 0.2400 0.9997  2 Ho 2.99, 1 Pr 3.03, 3 La 3.05-3.11
As 0.0001 0.7600 0.0003  2 Ho 2.99, 1 Pr 3.03, 3 La 3.05-3.11
As 0.3329 0.4178 0.6657  3 Pr 3.05-3.06, 3 La 3.05-3.06


Number 1: total moment 0.000 Bohr magnetons per cell. Number 2: total moment 0.001 Bohr magnetons per cell. Number 3: total moment 4.726 Bohr magnetons per cell. Number 4: total moment 0.000 Bohr magnetons per cell. Number 5: total moment 2.920 Bohr magnetons per cell. Number 6: total moment 0.000 Bohr magnetons per cell. Number 7: total moment 2.249 Bohr magnetons per cell. Number 8: total moment 0.000 Bohr magnetons per cell. Number 9: total moment 0.015 Bohr magnetons per cell. Number 10: total moment 0.000 Bohr magnetons per cell. Number 11: total moment 0.000 Bohr magnetons per cell. Number 12: total moment 0.000 Bohr magnetons per cell.